# 1
Here is ScInRh at its PBEsol-relaxed geometry from Alexandria via LeMat-Bulk. Energies are from SCAN.

Unit cell a=3.4163 b=3.4163 c=5.1768 alpha=109.27 beta=109.27 gamma=90.00
Closest atoms and distances in Å follow each position.
Positions (direct):
Sc 0.6817 0.6817 0.3634  4 Rh 2.75, 5 In 2.85-2.97
Rh 0.3255 0.3255 0.6511  4 Sc 2.75, 5 In 2.86-3.05
In 0.9928 0.9928 0.9856  5 Sc 2.85-2.97, 5 Rh 2.86-3.05

Computed properties:
**ΔE_f**: -0.77 eV per atom

=====

# 2
Here is BaSr2Ag at its PBEsol-relaxed geometry from Alexandria via LeMat-Bulk. Energies are from SCAN.

Unit cell a=3.9734 b=3.9734 c=10.2955 alpha=90.00 beta=90.00 gamma=90.02
Closest atoms and distances in Å follow each position.
Positions (direct):
Sr 0.0000 0.0000 0.3226  4 Ag 3.35, 1 Sr 3.65
Sr 0.0000 0.0000 0.6774  4 Ag 3.35, 1 Sr 3.65
Ba 0.5000 0.5000 0.0000  4 Ba 3.97, 8 Sr 4.35
Ag 0.5000 0.5000 0.5000  8 Sr 3.35

Computed properties:
**ΔE_f**: -0.12 eV per atom
**ΔE to the lowest computed polymorph**: 0.0063 eV/atom

=====

# 3
Here is RbNa2Ga2 at its PBEsol-relaxed geometry from Alexandria via LeMat-Bulk. Energies are from SCAN.

Unit cell a=5.5698 b=5.5698 c=6.4066 alpha=115.77 beta=115.77 gamma=90.00
Closest atoms and distances in Å follow each position.
Positions (direct):
Na 0.2500 0.7500 0.5000  4 Ga 3.08
Na 0.7500 0.2500 0.5000  4 Ga 3.08
Ga 0.3813 0.3813 0.7627  1 Ga 2.40
Ga 0.6187 0.6187 0.2374  1 Ga 2.40
Rb 0.0000 0.0000 0.0000  8 Na 3.76, 10 Ga 3.85-4.12

Computed properties:
**ΔE_f**: 0.04 eV per atom

=====

# 4
Here is MnAl6Si4O19 at its PBEsol-relaxed geometry from Alexandria via LeMat-Bulk. Energies are from SCAN.

Unit cell a=5.6978 b=9.5153 c=11.7951 alpha=107.81 beta=90.00 gamma=90.00
Closest atoms and distances in Å follow each position.
Positions (direct):
Mn 0.2500 0.3638 0.6264  3 O 1.77-1.90
Mn 0.7500 0.6362 0.3736  3 O 1.77-1.90
Al 0.2500 0.3223 0.9053  4 O 1.71-1.79
Al 0.7500 0.6777 0.0947  4 O 1.71-1.79
Al 0.2500 0.0911 0.1347  4 O 1.72-1.77
Al 0.7500 0.9089 0.8653  4 O 1.72-1.77
Al 0.5088 0.9334 0.3071  6 O 1.82-2.02
Al 0.0088 0.0666 0.6929  6 O 1.82-2.02
Al 0.4912 0.0666 0.6929  6 O 1.82-2.02
Al 0.9912 0.9334 0.3071  6 O 1.82-2.02
Al 0.4977 0.4083 0.1671  6 O 1.83-2.00
Al 0.9977 0.5917 0.8329  6 O 1.83-2.00
Al 0.5023 0.5917 0.8329  6 O 1.83-2.00
Al 0.0023 0.4083 0.1671  6 O 1.83-2.00
Si 0.2500 0.8294 0.4664  5 O 1.67-1.83
Si 0.7500 0.1706 0.5336  5 O 1.67-1.83
Si 0.2500 0.5090 0.4183  4 O 1.61-1.67
Si 0.7500 0.4910 0.5817  4 O 1.61-1.67
Si 0.2500 0.6760 0.0936  4 O 1.60-1.65
Si 0.7500 0.3240 0.9064  4 O 1.60-1.65
Si 0.2500 0.8960 0.8481  4 O 1.60-1.65
Si 0.7500 0.1040 0.1519  4 O 1.60-1.65
O 0.2500 0.9862 0.9871  1 Si 1.60, 1 Al 1.72
O 0.7500 0.0138 0.0129  1 Si 1.60, 1 Al 1.72
O 0.2500 0.4537 0.8240  3 Al 1.79-1.93
O 0.7500 0.5463 0.1760  3 Al 1.79-1.93
O 0.2500 0.5370 0.1474  1 Si 1.63
O 0.7500 0.4630 0.8526  1 Si 1.63
O 0.2500 0.7182 0.8333  1 Si 1.65
O 0.7500 0.2818 0.1667  1 Si 1.65
O 0.2500 0.3736 0.4788  1 Si 1.65, 1 Mn 1.77
O 0.7500 0.6264 0.5212  1 Si 1.65, 1 Mn 1.77
O 0.2500 0.6737 0.5102  2 Si 1.61-1.71
O 0.7500 0.3263 0.4898  2 Si 1.61-1.71
O 0.2500 0.2823 0.1554  3 Al 1.76-1.83
O 0.7500 0.7177 0.8446  3 Al 1.76-1.83
O 0.2500 0.8340 0.1939  1 Si 1.60
O 0.7500 0.1660 0.8061  1 Si 1.60
O 0.2500 0.9511 0.6029  1 Si 1.67
O 0.7500 0.0489 0.3971  1 Si 1.67
O 0.2500 0.9814 0.4015  2 Al 1.82, 1 Si 1.83
O 0.7500 0.0186 0.5985  2 Al 1.82, 1 Si 1.83
O 0.2500 0.1594 0.7918  3 Al 1.71-1.84
O 0.7500 0.8406 0.2082  3 Al 1.71-1.84
O 0.5136 0.7819 0.3872  1 Si 1.75, 1 Mn 1.90, 1 Al 1.95
O 0.0136 0.2181 0.6128  1 Si 1.75, 1 Mn 1.90, 1 Al 1.95
O 0.4864 0.2181 0.6128  1 Si 1.75, 1 Mn 1.90, 1 Al 1.95
O 0.9864 0.7819 0.3872  1 Si 1.75, 1 Mn 1.90, 1 Al 1.95
O 0.4867 0.6573 0.0104  1 Si 1.65, 1 Al 1.78
O 0.9867 0.3427 0.9896  1 Si 1.65, 1 Al 1.78
O 0.5133 0.3427 0.9896  1 Si 1.65, 1 Al 1.78
O 0.0133 0.6573 0.0104  1 Si 1.65, 1 Al 1.78
O 0.5054 0.0715 0.2146  1 Si 1.65, 1 Al 1.77
O 0.0054 0.9285 0.7854  1 Si 1.65, 1 Al 1.77
O 0.4946 0.9285 0.7854  1 Si 1.65, 1 Al 1.77
O 0.9946 0.0715 0.2146  1 Si 1.65, 1 Al 1.77
O 0.4894 0.4894 0.3327  1 Si 1.67, 1 Al 1.87
O 0.9894 0.5106 0.6673  1 Si 1.67, 1 Al 1.87
O 0.5106 0.5106 0.6673  1 Si 1.67, 1 Al 1.87
O 0.0106 0.4894 0.3327  1 Si 1.67, 1 Al 1.87

Computed properties:
**Formation energy from raw total energies**: -3.0453 eV per atom

=====

# 5
Here is Sc2BeHg at its PBEsol-relaxed geometry from Alexandria via LeMat-Bulk. Energies are from SCAN.

Unit cell a=4.6678 b=4.6678 c=4.6678 alpha=60.00 beta=60.00 gamma=60.00
Closest atoms and distances in Å follow each position.
Positions (direct):
Sc 0.0000 0.0000 0.0000  4 Sc 2.86, 4 Hg 2.86
Sc 0.7500 0.7500 0.7500  4 Sc 2.86, 4 Be 2.86
Be 0.5000 0.5000 0.5000  4 Hg 2.86, 4 Sc 2.86
Hg 0.2500 0.2500 0.2500  4 Sc 2.86, 4 Be 2.86

Computed properties:
**ΔE_f**: 0.03 eV per atom
**ΔE to the lowest computed polymorph**: 0.3945 eV/atom

=====

# 6
Here is SrCuSe2 at its PBEsol-relaxed geometry from Alexandria via LeMat-Bulk. Energies are from SCAN.

Unit cell a=4.0694 b=4.0694 c=6.0253 alpha=109.74 beta=109.74 gamma=90.00
Closest atoms and distances in Å follow each position.
Positions (direct):
Cu 0.2500 0.7500 0.5000  4 Se 2.88
Se 0.0000 0.0000 0.0000  4 Sr 2.88
Se 0.7500 0.2500 0.5000  4 Cu 2.88
Sr 0.5000 0.5000 0.0000  4 Se 2.88

Computed properties:
**Formation energy from raw total energies**: -0.5872 eV per atom

=====

# 7
Here is Sr2Sn at its PBEsol-relaxed geometry from Alexandria via LeMat-Bulk. Energies are from SCAN.

Unit cell a=5.3461 b=8.1758 c=10.0036 alpha=90.00 beta=90.00 gamma=90.00
Closest atoms and distances in Å follow each position.
Positions (direct):
Sr 0.7500 0.5208 0.1853  3 Sn 3.45-3.55
Sr 0.2500 0.4792 0.8147  3 Sn 3.45-3.55
Sr 0.7500 0.0208 0.3147  3 Sn 3.45-3.55
Sr 0.2500 0.9792 0.6853  3 Sn 3.45-3.55
Sr 0.2500 0.8391 0.0739  4 Sn 3.29-3.39
Sr 0.7500 0.1609 0.9261  4 Sn 3.29-3.39
Sr 0.2500 0.3391 0.4261  4 Sn 3.29-3.39
Sr 0.7500 0.6609 0.5739  4 Sn 3.29-3.39
Sn 0.7500 0.2484 0.6054  7 Sr 3.29-3.55
Sn 0.2500 0.7516 0.3946  7 Sr 3.29-3.55
Sn 0.7500 0.7484 0.8946  7 Sr 3.29-3.55
Sn 0.2500 0.2516 0.1054  7 Sr 3.29-3.55

Computed properties:
**ΔE_f**: -0.71 eV per atom

=====

# 8
Here is AlP2PbBr at its PBEsol-relaxed geometry from Alexandria via LeMat-Bulk. Energies are from SCAN.

Unit cell a=5.0848 b=5.0848 c=5.9869 alpha=90.00 beta=90.00 gamma=90.00
Closest atoms and distances in Å follow each position.
Positions (direct):
Pb 0.0000 0.0000 0.0000  4 P 2.54
P 0.0000 0.5000 0.0000  2 Pb 2.54
P 0.5000 0.0000 0.0000  2 Pb 2.54
Al 0.0000 0.0000 0.5000  2 Pb 2.99
Br 0.5000 0.5000 0.5000  4 Al 3.60, 8 P 3.93

Computed properties:
**Formation energy from raw total energies**: 1.1078 eV per atom

=====

# 9
Here is SbP2AuO at its PBEsol-relaxed geometry from Alexandria via LeMat-Bulk. Energies are from SCAN.

Unit cell a=3.7953 b=5.0125 c=5.0125 alpha=90.00 beta=90.00 gamma=90.00
Closest atoms and distances in Å follow each position.
Positions (direct):
Sb 0.0000 0.0000 0.0000  2 O 1.90
Au 0.5000 0.5000 0.5000  8 P 3.14
O 0.5000 0.0000 0.0000  2 Sb 1.90
P 0.0000 0.0000 0.5000  2 Sb 2.51
P 0.0000 0.5000 0.0000  2 Sb 2.51

Computed properties:
**ΔE to the lowest computed polymorph**: 0.0065 eV/atom
**Formation energy from raw total energies**: 0.6225 eV per atom

=====

# 10
Here is KMgSc3 at its PBEsol-relaxed geometry from Alexandria via LeMat-Bulk. Energies are from SCAN.

Unit cell a=5.4655 b=5.4655 c=5.4655 alpha=90.00 beta=90.00 gamma=90.00
Closest atoms and distances in Å follow each position.
Positions (direct):
Sc 0.0000 0.5000 0.0000  2 Mg 2.73
Sc 0.0000 0.0000 0.5000  2 Mg 2.73
Sc 0.5000 0.0000 0.0000  2 Mg 2.73
K 0.5000 0.5000 0.5000  12 Sc 3.86
Mg 0.0000 0.0000 0.0000  6 Sc 2.73

Computed properties:
**ΔE_f**: 0.83 eV per atom
**ΔE to the lowest computed polymorph**: 0.0000 eV/atom

=====

# 11
Here is La3BRu at its PBEsol-relaxed geometry from Alexandria via LeMat-Bulk. Energies are from SCAN.

Unit cell a=5.0595 b=5.0595 c=5.0595 alpha=90.00 beta=90.00 gamma=90.00
Closest atoms and distances in Å follow each position.
Positions (direct):
Ru 0.5000 0.5000 0.5000  12 La 3.58
B 0.0000 0.0000 0.0000  6 La 2.53
La 0.0000 0.5000 0.0000  2 B 2.53
La 0.0000 0.0000 0.5000  2 B 2.53
La 0.5000 0.0000 0.0000  2 B 2.53

Computed properties:
**ΔE_f**: 0.44 eV per atom

=====

# 12
Here is Al3ReC at its PBEsol-relaxed geometry from Alexandria via LeMat-Bulk. Energies are from SCAN.

Unit cell a=4.7158 b=4.7158 c=4.7158 alpha=90.00 beta=90.00 gamma=90.00
Closest atoms and distances in Å follow each position.
Positions (direct):
Re 0.0000 0.0000 0.0000  6 Al 2.36
C 0.5000 0.5000 0.5000  12 Al 3.33
Al 0.0000 0.5000 0.0000  2 Re 2.36
Al 0.0000 0.0000 0.5000  2 Re 2.36
Al 0.5000 0.0000 0.0000  2 Re 2.36

Computed properties:
**ΔE_f**: 1.67 eV per atom

=====

# 13
Here is TeMoP2Cl at its PBEsol-relaxed geometry from Alexandria via LeMat-Bulk. Energies are from SCAN.

Unit cell a=4.9078 b=5.0521 c=5.0521 alpha=90.00 beta=90.00 gamma=90.00
Closest atoms and distances in Å follow each position.
Positions (direct):
P 0.0000 0.0000 0.5000  2 Te 2.53
P 0.0000 0.5000 0.0000  2 Te 2.53
Mo 0.5000 0.5000 0.5000  8 P 3.52, 4 Cl 3.57
Te 0.0000 0.0000 0.0000  2 Cl 2.45, 4 P 2.53
Cl 0.5000 0.0000 0.0000  2 Te 2.45

Computed properties:
**Formation energy from raw total energies**: 1.3653 eV per atom